{"formula": "NaBi2", "functional": "GGA-PBE", "state": "optimized geometry", "lattice_angstrom": [[4.260, 0.000, 0.000], [0.000, 4.260, 0.000], [-2.130, -2.130, 5.488]], "species": ["Na", "Bi", "Bi"], "frac_coords": [[0.000, 0.000, 0.000], [0.694, 0.694, 0.387], [0.306, 0.306, 0.613]], "magmom_total_mub_per_cell": 0.0, "crystal_system": "tetragonal", "e_form_ev_per_atom": -0.1339, "e_tot_ev_per_atom": -3.16, "space_group": "I4/mmm (139)"}